1.
LiTcPd | GGA-PBE | relaxed

## Properties
formation energy from the elements	-1.6	kJ/mol of atoms
electronic total energy	-5.84	eV/atom

Cell lengths 7.160, 4.576, 2.668 Å; angles 90.00, 84.63, 90.00 degrees
Element x y z (fractional)
Tc (0.746, 0.000, 0.046)
Tc (0.431, 0.000, 0.885)
Li (0.187, 0.500, 0.952)
Li (0.534, 0.500, 0.345)
Pd (0.101, 0.000, 0.460)
Pd (0.864, 0.500, 0.552)

---

2.
LiTcPd | GGA-PBE | relaxed

## Properties
formation energy from the elements	1.3	kJ/mol of atoms
electronic total energy	-5.81	eV/atom

Cell lengths 2.688, 4.540, 7.190 Å; angles 90.00, 90.00, 90.00 degrees
Element x y z (fractional)
Li (0.500, 0.500, 0.403)
Li (0.000, 0.500, 0.077)
Tc (0.000, 0.000, 0.869)
Tc (0.000, 0.000, 0.555)
Pd (0.500, 0.500, 0.749)
Pd (0.500, 0.000, 0.211)

---

3.
LiTc2Pd2 | GGA-PBE | relaxed

## Properties
formation energy from the elements	25.3	kJ/mol of atoms
electronic total energy	-6.34	eV/atom

Cell lengths 3.527, 3.527, 7.119 Å; angles 75.66, 75.66, 90.00 degrees
Element x y z (fractional)
Tc (0.750, 0.250, 0.500)
Tc (0.250, 0.750, 0.500)
Li (0.000, 0.000, 0.000)
Pd (0.403, 0.403, 0.194)
Pd (0.597, 0.597, 0.806)

---

4.
LiTc2Pd2 | GGA-PBE | relaxed

## Properties
formation energy from the elements	17.3	kJ/mol of atoms
electronic total energy	-6.43	eV/atom

Cell lengths 7.848, 7.848, 2.703 Å; angles 90.00, 90.00, 90.00 degrees
Element x y z (fractional)
Tc (0.398, 0.898, 0.000)
Tc (0.602, 0.102, 0.000)
Tc (0.102, 0.398, 0.000)
Tc (0.898, 0.602, 0.000)
Pd (0.190, 0.690, 0.500)
Pd (0.690, 0.810, 0.500)
Pd (0.310, 0.190, 0.500)
Pd (0.810, 0.310, 0.500)
Li (0.500, 0.500, 0.000)
Li (0.000, 0.000, 0.000)

---

5.
Li3TcPd | GGA-PBE | relaxed

## Properties
formation energy from the elements	86.6	kJ/mol of atoms
electronic total energy	-3.36	eV/atom

Cell lengths 4.333, 4.333, 4.333 Å; angles 90.00, 90.00, 90.00 degrees
Element x y z (fractional)
Pd (0.000, 0.000, 0.000)
Tc (0.500, 0.500, 0.500)
Li (0.000, 0.000, 0.500)
Li (0.500, 0.000, 0.000)
Li (0.000, 0.500, 0.000)

---

6.
LiTcPd | GGA-PBE | relaxed

## Properties
formation energy from the elements	2.3	kJ/mol of atoms
electronic total energy	-5.80	eV/atom

Cell lengths 5.725, 5.725, 4.298 Å; angles 90.00, 90.00, 142.34 degrees
Element x y z (fractional)
Li (0.660, 0.340, 0.000)
Li (0.340, 0.660, 0.000)
Tc (0.182, 0.818, 0.500)
Tc (0.818, 0.182, 0.500)
Pd (0.500, 0.500, 0.500)
Pd (0.000, 0.000, 0.000)

---

7.
LiTcPd | GGA-PBE | relaxed

## Properties
formation energy from the elements	-2.8	kJ/mol of atoms
electronic total energy	-5.85	eV/atom

Cell lengths 11.306, 4.673, 4.673 Å; angles 133.72, 143.44, 36.56 degrees
Element x y z (fractional)
Tc (0.261, 0.316, 0.684)
Tc (0.129, 0.811, 0.189)
Pd (0.438, 0.817, 0.183)
Pd (0.766, 0.816, 0.184)
Li (0.924, 0.335, 0.665)
Li (0.619, 0.297, 0.703)

---

8.
Li2TcPd2 | GGA-PBE | relaxed

## Properties
formation energy from the elements	-4.3	kJ/mol of atoms
electronic total energy	-4.96	eV/atom

Cell lengths 7.042, 7.042, 2.704 Å; angles 90.00, 90.00, 90.00 degrees
Element x y z (fractional)
Tc (0.500, 0.500, 0.000)
Tc (0.000, 0.000, 0.000)
Li (0.614, 0.114, 0.000)
Li (0.886, 0.614, 0.000)
Li (0.386, 0.886, 0.000)
Li (0.114, 0.386, 0.000)
Pd (0.688, 0.812, 0.500)
Pd (0.312, 0.188, 0.500)
Pd (0.812, 0.312, 0.500)
Pd (0.188, 0.688, 0.500)